This record from the Alexandria database describes a relaxed structure of AlCoCl2. The functional is PBE.

The space group is R-3m (No. 166, hexagonal axes) and the conventional cell measures 3.2759, 3.2759 and 26.1123 Å, with angles of 90.00, 90.00 and 120.00 degrees. The distinct sites, in fractional coordinates, are Al at (0.0000, 0.0000, 0.0000), Co at (0.0000, 0.0000, 0.5000) and Cl at (0.0000, 0.0000, 0.4182).

Its density of states at the Fermi level is 3.5 states/eV/f.u. As for the offset from the most stable computed form: 602 meV/atom. The uncorrected formation energy is 4 kJ per mole of atoms. The total energy is -3.593 eV per atom.